This record from Alexandria describes crystalline K2AlRe at its relaxed geometry. The functional is PBE.

ΔE_f (eV/atom): 0.853
VASP energy (eV/atom): -3.743

abc: 2.9757 2.9757 11.6486
angles: 90.00 90.00 90.00
Last column: nearest neighbours and their distance in Å.
Positions (direct):
K: 0.0000 0.0000 0.0000  4 K 2.98
K: 0.5000 0.5000 0.3722  4 K 2.98
Al: 0.5000 0.5000 0.7571  4 Re 2.72, 4 Al 2.98
Re: 0.0000 0.0000 0.6093  4 Al 2.72, 4 Re 2.98